Entry 1:
First-principles (GGA-PBE) data for TlAsRhAuCl after structural relaxation, as listed in the Alexandria database.

Cell lengths 3.620, 5.117, 7.381 Å; angles 108.28, 93.48, 108.33 degrees
Element x y z (fractional)
Tl 0.000 0.000 0.000
As 0.197 0.436 0.713
Rh 0.700 0.399 0.920
Au 0.308 0.901 0.608
Cl 0.803 0.631 0.287

Results
Energy relative to the lowest polymorph listed for this composition, eV/atom: 0.1433
Fermi-level density of states, states/eV per atom: 0.47
SG: No. 1
Energy relative to the elements, uncorrected, eV per formula unit: -0.7
Total magnetization, μB per formula unit: 0.000

Entry 2:
First-principles (GGA-PBE) data for TlAsRhAuCl after structural relaxation, as listed in the Alexandria database.

Cell lengths 3.350, 4.572, 7.719 Å; angles 90.00, 90.00, 90.00 degrees
Element x y z (fractional)
Tl 0.000 0.000 0.000
As 0.500 0.500 0.296
Rh 0.000 0.500 0.515
Au 0.500 0.000 0.456
Cl 0.500 0.500 0.791

Results
Energy relative to the lowest polymorph listed for this composition, eV/atom: 0.0572
Fermi-level density of states, states/eV per atom: 0.51
SG: No. 25
Energy relative to the elements, uncorrected, eV per formula unit: -1.1
Total magnetization, μB per formula unit: 0.000

Entry 3:
First-principles (GGA-PBE) data for TlAsRhAuCl after structural relaxation, as listed in the Alexandria database.

Cell lengths 3.444, 4.411, 8.174 Å; angles 90.00, 101.91, 90.00 degrees
Element x y z (fractional)
Tl 0.000 0.000 0.000
As 0.656 0.500 0.294
Rh 0.256 0.500 0.500
Au 0.741 0.000 0.468
Cl 0.408 0.500 0.811

Results
Energy relative to the lowest polymorph listed for this composition, eV/atom: 0.0391
Fermi-level density of states, states/eV per atom: 0.47
SG: No. 6
Energy relative to the elements, uncorrected, eV per formula unit: -1.2
Total magnetization, μB per formula unit: 0.000

Entry 4:
First-principles (GGA-PBE) data for TlAsRhAuCl after structural relaxation, as listed in the Alexandria database.

Cell lengths 4.943, 4.943, 8.075 Å; angles 95.06, 95.06, 40.34 degrees
Element x y z (fractional)
Tl 0.000 0.000 0.000
As 0.002 0.002 0.483
Rh 0.550 0.550 0.284
Au 0.277 0.277 0.389
Cl 0.295 0.295 0.828

Results
Energy relative to the lowest polymorph listed for this composition, eV/atom: 0.1216
Fermi-level density of states, states/eV per atom: 0.46
SG: No. 8
Energy relative to the elements, uncorrected, eV per formula unit: -0.8
Total magnetization, μB per formula unit: 0.000

Entry 5:
First-principles (GGA-PBE) data for TlAsRhAuCl after structural relaxation, as listed in the Alexandria database.

Cell lengths 3.786, 3.786, 9.353 Å; angles 90.08, 90.08, 60.10 degrees
Element x y z (fractional)
Tl 0.000 0.000 0.000
As 0.335 0.335 0.287
Rh 0.001 0.001 0.385
Au 0.668 0.668 0.560
Cl 0.333 0.333 0.747

Results
Energy relative to the lowest polymorph listed for this composition, eV/atom: 0.0081
Fermi-level density of states, states/eV per atom: 0.14
SG: No. 8
Energy relative to the elements, uncorrected, eV per formula unit: -1.3
Total magnetization, μB per formula unit: 0.000

Entry 6:
First-principles (GGA-PBE) data for TlAsRhAuCl after structural relaxation, as listed in the Alexandria database.

Cell lengths 4.336, 7.792, 7.792 Å; angles 27.11, 90.00, 90.00 degrees
Element x y z (fractional)
Tl 0.000 0.000 0.000
As 0.000 0.783 0.783
Rh 0.000 0.186 0.186
Au 0.500 0.687 0.687
Cl 0.500 0.429 0.429

Results
Energy relative to the lowest polymorph listed for this composition, eV/atom: 0.0385
Fermi-level density of states, states/eV per atom: 0.47
SG: No. 38
Energy relative to the elements, uncorrected, eV per formula unit: -1.2
Total magnetization, μB per formula unit: 0.000

Entry 7:
First-principles (GGA-PBE) data for TlAsRhAuCl after structural relaxation, as listed in the Alexandria database.

Cell lengths 3.810, 5.641, 6.230 Å; angles 76.62, 72.22, 89.62 degrees
Element x y z (fractional)
Tl 0.000 0.000 0.000
As 0.306 0.516 0.395
Rh 0.759 0.708 0.485
Au 0.260 0.064 0.474
Cl 0.546 0.578 0.915

Results
Energy relative to the lowest polymorph listed for this composition, eV/atom: 0.0855
Fermi-level density of states, states/eV per atom: 0.26
SG: No. 1
Energy relative to the elements, uncorrected, eV per formula unit: -0.9
Total magnetization, μB per formula unit: 0.000

Entry 8:
First-principles (GGA-PBE) data for TlAsRhAuCl after structural relaxation, as listed in the Alexandria database.

Cell lengths 3.841, 3.987, 9.175 Å; angles 84.27, 78.15, 61.56 degrees
Element x y z (fractional)
Tl 0.000 0.000 0.000
As 0.751 0.926 0.578
Rh 0.459 0.587 0.497
Au 0.411 0.377 0.801
Cl 0.591 0.587 0.232

Results
Energy relative to the lowest polymorph listed for this composition, eV/atom: 0.0701
Fermi-level density of states, states/eV per atom: 0.50
SG: No. 1
Energy relative to the elements, uncorrected, eV per formula unit: -1.0
Total magnetization, μB per formula unit: 0.000

Entry 9:
First-principles (GGA-PBE) data for AsAuS2Cl after structural relaxation, as listed in the Alexandria database.

Cell lengths 4.788, 4.788, 4.865 Å; angles 90.00, 90.00, 90.00 degrees
Element x y z (fractional)
As 0.000 0.000 0.000
Au 0.500 0.500 0.500
S 0.000 0.500 0.000
S 0.500 0.000 0.000
Cl 0.000 0.000 0.500

Results
Energy relative to the lowest polymorph listed for this composition, eV/atom: 0.0000
Fermi-level density of states, states/eV per atom: 0.53
SG: No. 123
Energy relative to the elements, uncorrected, eV per formula unit: 2.8
Total magnetization, μB per formula unit: 0.000

Entry 10:
First-principles (GGA-PBE) data for AsAuS2Cl after structural relaxation, as listed in the Alexandria database.

Cell lengths 4.475, 4.475, 5.360 Å; angles 90.00, 90.00, 90.00 degrees
Element x y z (fractional)
As 0.000 0.000 0.000
Au 0.500 0.500 0.000
S 0.000 0.500 0.500
S 0.500 0.000 0.500
Cl 0.000 0.000 0.500

Results
Energy relative to the lowest polymorph listed for this composition, eV/atom: 0.7044
Fermi-level density of states, states/eV per atom: 0.99
SG: No. 123
Energy relative to the elements, uncorrected, eV per formula unit: 6.3
Total magnetization, μB per formula unit: 0.000

Entry 11:
First-principles (GGA-PBE) data for As2AuSeCl after structural relaxation, as listed in the Alexandria database.

Cell lengths 4.839, 4.839, 5.136 Å; angles 90.00, 90.00, 90.00 degrees
Element x y z (fractional)
As 0.000 0.500 0.000
As 0.500 0.000 0.000
Au 0.000 0.000 0.500
Se 0.500 0.500 0.500
Cl 0.500 0.500 0.000

Results
Energy relative to the lowest polymorph listed for this composition, eV/atom: 0.3702
Fermi-level density of states, states/eV per atom: 1.09
SG: No. 123
Energy relative to the elements, uncorrected, eV per formula unit: 5.8
Total magnetization, μB per formula unit: 0.000

Entry 12:
First-principles (GGA-PBE) data for As2AuSeCl after structural relaxation, as listed in the Alexandria database.

Cell lengths 5.139, 5.139, 5.070 Å; angles 90.00, 90.00, 90.00 degrees
Element x y z (fractional)
As 0.000 0.500 0.000
As 0.500 0.000 0.000
Au 0.000 0.000 0.000
Se 0.000 0.000 0.500
Cl 0.500 0.500 0.500

Results
Energy relative to the lowest polymorph listed for this composition, eV/atom: 0.0000
Fermi-level density of states, states/eV per atom: 1.56
SG: No. 123
Energy relative to the elements, uncorrected, eV per formula unit: 4.0
Total magnetization, μB per formula unit: 0.507

Entry 13:
First-principles (GGA-PBE) data for SiAs2AuCl after structural relaxation, as listed in the Alexandria database.

Cell lengths 5.237, 5.237, 4.792 Å; angles 90.00, 90.00, 90.00 degrees
Element x y z (fractional)
Si 0.000 0.000 0.000
As 0.000 0.500 0.500
As 0.500 0.000 0.500
Au 0.000 0.000 0.500
Cl 0.500 0.500 0.000

Results
Fermi-level density of states, states/eV per atom: 0.75
SG: No. 123
Energy relative to the elements, uncorrected, eV per formula unit: 4.3
Total magnetization, μB per formula unit: 2.039

Entry 14:
First-principles (GGA-PBE) data for TlAsAuCl after structural relaxation, as listed in the Alexandria database.

Cell lengths 4.421, 4.421, 7.300 Å; angles 107.49, 107.49, 60.25 degrees
Element x y z (fractional)
Tl 0.000 0.000 0.000
As 0.557 0.557 0.663
Au 0.241 0.241 0.718
Cl 0.437 0.437 0.319

Results
Energy relative to the lowest polymorph listed for this composition, eV/atom: 0.0032
Fermi-level density of states, states/eV per atom: 0.30
SG: No. 8
Energy relative to the elements, uncorrected, eV per formula unit: -0.9
Total magnetization, μB per formula unit: 0.000

Table of E (eV/atom), in record order: -4.0288 -4.1150 -4.1330 -4.0506 -4.1640 -4.1336 -4.0867 -4.1020 -3.0525 -2.3482 -2.4212 -2.7914 -3.1192 -3.2578